Record 1
DFT (PBE) results for crystalline TiICl at its relaxed geometry.

Summary:
Uncorrected formation energy   -1.0619 eV/atom
Density of states at the Fermi level   1.22 states/eV/f.u.
ΔE to the lowest computed polymorph   12.8 meV/atom
Crystal system   monoclinic

```
data_TiICl
_space_group_name_H-M_alt 'C 1 2/m 1'
_space_group_IT_number 12
_space_group_name_Hall '-C 2y'
_cell_length_a 16.070
_cell_length_b 3.599
_cell_length_c 6.347
_cell_angle_alpha 90.00
_cell_angle_beta 112.94
_cell_angle_gamma 90.00
loop_
_atom_site_label
_atom_site_type_symbol
_atom_site_fract_x
_atom_site_fract_y
_atom_site_fract_z
Ti1 Ti 0.247 0.000 0.317
I1 I 0.142 0.000 0.804
Cl1 Cl 0.136 0.500 0.297
```

Record 2
DFT (PBE) results for crystalline Tc2RuRh at its relaxed geometry.

Summary:
Density of states at the Fermi level   5.03 states/eV/f.u.
ΔE to the lowest computed polymorph   152.5 meV/atom
Crystal system   trigonal

```
data_Tc2RuRh
_space_group_name_H-M_alt 'R -3 m'
_space_group_IT_number 166
_space_group_name_Hall '-R 3 2"'
_cell_length_a 2.7252
_cell_length_b 2.7252
_cell_length_c 26.6700
_cell_angle_alpha 90.00
_cell_angle_beta 90.00
_cell_angle_gamma 120.00
loop_
_atom_site_label
_atom_site_type_symbol
_atom_site_fract_x
_atom_site_fract_y
_atom_site_fract_z
Tc1 Tc 0.0000 0.0000 0.2503
Ru1 Ru 0.0000 0.0000 0.0000
Rh1 Rh 0.0000 0.0000 0.5000
```